# PBE-GGA MnZn12Pd3, relaxed
# Total DFT energy (no corrections)   -44.06 eV/cell
data_MnZn12Pd3
_space_group_name_H-M_alt 'P 4/m m m'
_space_group_IT_number 123
_space_group_name_Hall '-P 4 2'
_cell_length_a 3.857
_cell_length_b 3.857
_cell_length_c 15.422
_cell_angle_alpha 90.00
_cell_angle_beta 90.00
_cell_angle_gamma 90.00
loop_
_atom_site_label
_atom_site_fract_x
_atom_site_fract_y
_atom_site_fract_z
Mn1 0.000 0.000 0.000
Zn1 0.000 0.500 0.122
Zn2 0.000 0.500 0.375
Zn3 0.500 0.500 0.000
Zn4 0.500 0.500 0.251
Zn5 0.500 0.500 0.500
Pd1 0.000 0.000 0.246
Pd2 0.000 0.000 0.500

# PBE-GGA CaIn12Hg7, relaxed
# Excess energy over the best structure of this formula in the dataset   0.00 eV/f.u.
# Total DFT energy (no corrections)   -113.11 eV/cell
data_CaIn12Hg7
_space_group_name_H-M_alt 'R -3'
_space_group_IT_number 148
_space_group_name_Hall '-R 3'
_cell_length_a 14.7339
_cell_length_b 14.7339
_cell_length_c 8.7609
_cell_angle_alpha 90.00
_cell_angle_beta 90.00
_cell_angle_gamma 120.00
loop_
_atom_site_label
_atom_site_fract_x
_atom_site_fract_y
_atom_site_fract_z
Ca1 0.0000 0.0000 0.0000
In1 0.0038 0.2373 0.8466
In2 0.0839 0.5771 0.1559
Hg1 0.0000 0.0000 0.5000
Hg2 0.0049 0.8177 0.8118

Energy relative to the elements, record by record: -4.0, -0.7 eV per formula unit